Entry 1:
# LaPr2TlO, optimized geometry, DFT PBE
data_LaPr2TlO
_chemical_formula_sum 'La1 Pr2 Tl1 O1'
_space_group_name_H-M_alt 'P 4/m m m'
_space_group_IT_number 123
_space_group_name_Hall '-P 4 2'
_cell_length_a 5.064
_cell_length_b 5.064
_cell_length_c 5.037
_cell_angle_alpha 90.00
_cell_angle_beta 90.00
_cell_angle_gamma 90.00
loop_
_atom_site_label
_atom_site_type_symbol
_atom_site_fract_x
_atom_site_fract_y
_atom_site_fract_z
La1 La 0.000 0.000 0.000
Pr1 Pr 0.000 0.500 0.500
Tl1 Tl 0.500 0.500 0.000
O1 O 0.000 0.000 0.500
# - theoretical density (g/cm3) = 8.2
# - E_tot (eV for the cell shown) = -28.57
# - energy relative to the elements, uncorrected (eV/atom) = -1.35

---

Entry 2:
# SrTe2Au, optimized geometry, DFT PBE
data_SrTe2Au
_chemical_formula_sum 'Sr3 Te6 Au3'
_space_group_name_H-M_alt 'R -3 m'
_space_group_IT_number 166
_space_group_name_Hall '-R 3 2"'
_cell_length_a 4.4935
_cell_length_b 4.4935
_cell_length_c 21.5893
_cell_angle_alpha 90.00
_cell_angle_beta 90.00
_cell_angle_gamma 120.00
loop_
_atom_site_label
_atom_site_type_symbol
_atom_site_fract_x
_atom_site_fract_y
_atom_site_fract_z
Sr1 Sr 0.0000 0.0000 0.0000
Te1 Te 0.0000 0.0000 0.2352
Au1 Au 0.0000 0.0000 0.5000
# - theoretical density (g/cm3) = 7.1
# - E_tot (eV for the cell shown) = -40.94
# - energy relative to the elements, uncorrected (eV/atom) = -0.60

---

Entry 3:
# DyHfIrAu, optimized geometry, DFT PBE
data_DyHfIrAu
_chemical_formula_sum 'Dy4 Hf4 Ir4 Au4'
_space_group_name_H-M_alt 'F -4 3 m'
_space_group_IT_number 216
_space_group_name_Hall 'F -4 2 3'
_cell_length_a 6.844
_cell_length_b 6.844
_cell_length_c 6.844
_cell_angle_alpha 90.00
_cell_angle_beta 90.00
_cell_angle_gamma 90.00
loop_
_atom_site_label
_atom_site_type_symbol
_atom_site_fract_x
_atom_site_fract_y
_atom_site_fract_z
Dy1 Dy 0.000 0.000 0.000
Hf1 Hf 0.000 0.000 0.500
Ir1 Ir 0.250 0.250 0.750
Au1 Au 0.250 0.250 0.250
# - theoretical density (g/cm3) = 15.1
# - ΔH_f (0 K) (eV/atom) = -0.677
# - E_tot (eV for the cell shown) = -117.61

---

Entry 4:
# CaLaTeSe, optimized geometry, DFT PBE
data_CaLaTeSe
_chemical_formula_sum 'Ca3 La3 Te3 Se3'
_space_group_name_H-M_alt 'R 3 m'
_space_group_IT_number 160
_space_group_name_Hall 'R 3 -2"'
_cell_length_a 4.3632
_cell_length_b 4.3632
_cell_length_c 21.9836
_cell_angle_alpha 90.00
_cell_angle_beta 90.00
_cell_angle_gamma 120.00
loop_
_atom_site_label
_atom_site_type_symbol
_atom_site_fract_x
_atom_site_fract_y
_atom_site_fract_z
Ca1 Ca 0.0000 0.0000 0.0000
La1 La 0.0000 0.0000 0.5129
Te1 Te 0.0000 0.0000 0.7538
Se1 Se 0.0000 0.0000 0.2605
# - theoretical density (g/cm3) = 5.3
# - E_tot (eV for the cell shown) = -61.85
# - energy relative to the elements, uncorrected (eV/atom) = -1.77

---

Entry 5:
# Tb12Ho5Hg2, optimized geometry, DFT PBE
data_Tb12Ho5Hg2
_chemical_formula_sum 'Tb24 Ho10 Hg4'
_space_group_name_H-M_alt 'C 1 2/m 1'
_space_group_IT_number 12
_space_group_name_Hall '-C 2y'
_cell_length_a 15.496
_cell_length_b 9.221
_cell_length_c 8.332
_cell_angle_alpha 90.00
_cell_angle_beta 93.76
_cell_angle_gamma 90.00
loop_
_atom_site_label
_atom_site_type_symbol
_atom_site_fract_x
_atom_site_fract_y
_atom_site_fract_z
Tb1 Tb 0.051 0.000 0.271
Tb2 Tb 0.095 0.500 0.889
Tb3 Tb 0.115 0.192 0.627
Tb4 Tb 0.162 0.315 0.239
Ho1 Ho 0.000 0.500 0.500
Ho2 Ho 0.179 0.000 0.977
Ho3 Ho 0.238 0.500 0.594
Hg1 Hg 0.000 0.218 0.000
# - theoretical density (g/cm3) = 8.8
# - ΔH_f (0 K) (eV/atom) = 0.011
# - E_tot (eV for the cell shown) = -157.70

---

Entry 6:
# LiPm2Tm, optimized geometry, DFT PBE
data_LiPm2Tm
_chemical_formula_sum 'Li4 Pm8 Tm4'
_space_group_name_H-M_alt 'F m -3 m'
_space_group_IT_number 225
_space_group_name_Hall '-F 4 2 3'
_cell_length_a 7.834
_cell_length_b 7.834
_cell_length_c 7.834
_cell_angle_alpha 90.00
_cell_angle_beta 90.00
_cell_angle_gamma 90.00
loop_
_atom_site_label
_atom_site_type_symbol
_atom_site_fract_x
_atom_site_fract_y
_atom_site_fract_z
Li1 Li 0.000 0.000 0.000
Pm1 Pm 0.250 0.250 0.250
Tm1 Tm 0.000 0.000 0.500
# - theoretical density (g/cm3) = 6.4
# - E above lowest polymorph (meV per atom) = 83.0
# - ΔH_f (0 K) (eV/atom) = 0.151
# - E_tot (eV for the cell shown) = -61.13

---

- Which value of E_tot does entry 4 give?
  -61.85 eV for the cell shown

---

- Look up the theoretical density of the first one.
  8.2 g/cm3

---

- Look up the E_tot of the fourth one.
  -61.85 eV for the cell shown

---

- Which formula does entry 2 have?
  SrTe2Au